A relaxed structure of NpTiPtO6. Source: Alexandria via LeMat-Bulk, functional GGA-PBE.

Summary:
As for the uncorrected formation energy: -2.07 eV per atom. As for the crystal system: trigonal. Its space group is P-31c (163).

The structure in extended XYZ format:
```
18
Lattice="5.358 0.000 0.000 -2.679 4.641 0.000 0.000 0.000 8.835" Properties=species:S:1:pos:R:3 pbc="T T T"
Np 0.000 3.094 2.209
Np 2.679 1.547 6.626
Ti 0.000 3.094 6.626
Ti 2.679 1.547 2.209
Pt 0.000 0.000 0.000
Pt 0.000 0.000 4.417
O -0.856 1.629 5.569
O -1.697 3.085 7.682
O 0.856 1.629 7.682
O -0.841 4.567 5.569
O 1.838 0.073 1.152
O 0.983 1.555 3.265
O 1.697 3.085 5.569
O 0.841 4.567 7.682
O 3.520 0.073 3.265
O 1.824 3.012 1.152
O 4.376 1.555 1.152
O 3.535 3.012 3.265
```

=====

A relaxed structure of NpTl2Pt3O12. Source: Alexandria via LeMat-Bulk, functional GGA-PBE.

Summary:
As for the uncorrected formation energy: -0.96 eV per atom. As for the crystal system: trigonal. Its space group is R-3m (166).

The structure in extended XYZ format:
```
18
Lattice="3.610 2.084 6.259 -3.610 2.084 6.259 0.000 -4.168 6.259" Properties=species:S:1:pos:R:3 pbc="T T T"
Np 0.000 0.000 0.000
Tl 0.000 0.000 7.421
Tl 0.000 0.000 11.357
Pt -3.610 0.000 9.389
Pt -1.805 1.042 3.130
Pt 1.805 1.042 3.130
O 0.000 -2.534 5.081
O -2.194 1.267 5.081
O -2.121 -1.225 8.949
O -2.194 -1.267 13.697
O 0.000 -2.449 9.829
O -2.121 1.225 9.829
O 2.121 -1.225 8.949
O 0.000 2.449 8.949
O 2.194 1.267 5.081
O 2.121 1.225 9.829
O 2.194 -1.267 13.697
O 0.000 2.534 13.697
```

=====

A relaxed structure of Np3Tl2PtO12. Source: Alexandria via LeMat-Bulk, functional GGA-PBE.

Summary:
As for the uncorrected formation energy: -2.04 eV per atom. As for the crystal system: trigonal. Its space group is R-3m (166).

The structure in extended XYZ format:
```
18
Lattice="3.935 2.272 6.035 -3.935 2.272 6.035 0.000 -4.544 6.035" Properties=species:S:1:pos:R:3 pbc="T T T"
Np -1.968 -1.136 6.035
Np -1.968 1.136 12.070
Np 0.000 2.272 6.035
Tl 0.000 0.000 2.823
Tl 0.000 0.000 15.282
Pt 0.000 0.000 9.052
O 0.000 -1.693 5.520
O -1.466 0.846 5.520
O -1.450 -0.837 7.951
O 0.000 -1.674 10.154
O -1.450 0.837 10.154
O -1.466 -0.846 12.585
O 1.466 0.846 5.520
O 1.450 -0.837 7.951
O 0.000 1.674 7.951
O 1.450 0.837 10.154
O 1.466 -0.846 12.585
O 0.000 1.693 12.585
```

=====

A relaxed structure of NpZnPtO6. Source: Alexandria via LeMat-Bulk, functional GGA-PBE.

Summary:
As for the uncorrected formation energy: -1.63 eV per atom. As for the crystal system: trigonal. Its space group is P-31c (163).

The structure in extended XYZ format:
```
18
Lattice="5.241 0.000 0.000 -2.621 4.539 0.000 0.000 0.000 9.364" Properties=species:S:1:pos:R:3 pbc="T T T"
Np 0.000 3.026 2.341
Np 2.621 1.513 7.023
Zn 0.000 0.000 0.000
Zn 0.000 0.000 4.682
Pt 0.000 3.026 7.023
Pt 2.621 1.513 2.341
O -0.860 1.553 5.895
O -1.706 3.017 8.152
O 0.860 1.553 8.152
O -0.846 4.508 5.895
O 1.775 0.031 1.212
O 0.915 1.521 3.470
O 1.706 3.017 5.895
O 0.846 4.508 8.152
O 3.466 0.031 3.470
O 1.760 2.986 1.212
O 4.326 1.521 1.212
O 3.481 2.986 3.470
```

=====

A relaxed structure of Pu4NpO10. Source: Alexandria via LeMat-Bulk, functional GGA-PBE.

Summary:
As for the uncorrected formation energy: -3.12 eV per atom. As for the crystal system: trigonal. Its space group is R-3m (166).

The structure in extended XYZ format:
```
15
Lattice="1.896 1.095 15.701 -1.896 1.095 15.701 0.000 -2.190 15.701" Properties=species:S:1:pos:R:3 pbc="T T T"
Pu 0.000 0.000 4.728
Pu 0.000 0.000 14.146
Pu 0.000 0.000 32.956
Pu 0.000 0.000 42.374
Np 0.000 0.000 23.551
O 0.000 0.000 2.347
O 0.000 0.000 7.116
O 0.000 0.000 11.747
O 0.000 0.000 16.480
O 0.000 0.000 21.271
O 0.000 0.000 25.830
O 0.000 0.000 30.622
O 0.000 0.000 35.355
O 0.000 0.000 39.985
O 0.000 0.000 44.754
```

=====

A relaxed structure of Pu2NpO8. Source: Alexandria via LeMat-Bulk, functional GGA-PBE.

Summary:
As for the uncorrected formation energy: -2.68 eV per atom. As for the crystal system: monoclinic. Its space group is C2/m (12).

The structure in extended XYZ format:
```
11
Lattice="6.398 -1.873 0.000 6.398 1.873 0.000 -0.866 0.000 6.335" Properties=species:S:1:pos:R:3 pbc="T T T"
Pu 2.977 0.000 1.550
Pu 8.952 0.000 4.785
Np -0.433 0.000 3.168
O 0.537 0.000 1.576
O 2.045 0.000 3.635
O 3.082 0.000 5.928
O 5.105 0.000 2.270
O 6.825 0.000 4.066
O 8.848 0.000 0.407
O 9.885 0.000 2.700
O 11.393 0.000 4.759
```